(P)
TcHgSbTe2 | PBE | optimized geometry

Calculated values
- Size of the total moment: 0.00 μB per atom

The structure in CIF format:
```
data_TcHgSbTe2
_cell_length_a 5.2889
_cell_length_b 5.2889
_cell_length_c 5.2297
_cell_angle_alpha 90.00
_cell_angle_beta 90.00
_cell_angle_gamma 90.00
_symmetry_space_group_name_H-M 'P 4/m m m'
_symmetry_Int_Tables_number 123
_symmetry_space_group_name_Hall '-P 4 2'
loop_
_atom_site_label
_atom_site_type_symbol
_atom_site_fract_x
_atom_site_fract_y
_atom_site_fract_z
Tc1 Tc 0.0000 0.0000 0.0000
Hg1 Hg 0.5000 0.5000 0.5000
Sb1 Sb 0.0000 0.0000 0.5000
Te1 Te 0.0000 0.5000 0.0000
```

---

(Q)
TcHgSbTe2 | PBE | optimized geometry

Calculated values
- Size of the total moment: 0.75 μB per atom

The structure in CIF format:
```
data_TcHgSbTe2
_cell_length_a 5.5882
_cell_length_b 5.5882
_cell_length_c 5.4936
_cell_angle_alpha 90.00
_cell_angle_beta 90.00
_cell_angle_gamma 90.00
_symmetry_space_group_name_H-M 'P 4/m m m'
_symmetry_Int_Tables_number 123
_symmetry_space_group_name_Hall '-P 4 2'
loop_
_atom_site_label
_atom_site_type_symbol
_atom_site_fract_x
_atom_site_fract_y
_atom_site_fract_z
Tc1 Tc 0.0000 0.0000 0.0000
Hg1 Hg 0.5000 0.5000 0.5000
Sb1 Sb 0.5000 0.5000 0.0000
Te1 Te 0.0000 0.5000 0.5000
```

---

Quick one: least stable of them? (Q)